1.
Y2NiPt | PBE | relaxed

Cell and atoms, written as CIF:
```
data_Y2NiPt
_symmetry_space_group_name_H-M 'I m m 2'
_symmetry_Int_Tables_number 44
_cell_length_a 3.6114
_cell_length_b 4.2302
_cell_length_c 11.2836
_cell_angle_alpha 90.00
_cell_angle_beta 90.00
_cell_angle_gamma 90.00
loop_
_symmetry_equiv_pos_as_xyz
'x,y,z'
'-x,-y,z'
'-x,y,z'
'x,-y,z'
'x+1/2,y+1/2,z+1/2'
'-x+1/2,-y+1/2,z+1/2'
'-x+1/2,y+1/2,z+1/2'
'x+1/2,-y+1/2,z+1/2'
loop_
_atom_site_label
_atom_site_fract_x
_atom_site_fract_y
_atom_site_fract_z
Y1 0.0000 0.0000 0.0000
Y2 0.0000 0.5000 0.2263
Ni1 0.0000 0.5000 0.7661
Pt1 0.0000 0.0000 0.4341
```

E (eV per atom): -6.792
Energy relative to the elements (eV per atom): -0.604

---

2.
ZrCoBRh2 | PBE | relaxed

Cell and atoms, written as CIF:
```
data_ZrCoBRh2
_symmetry_space_group_name_H-M 'P 4/m m m'
_symmetry_Int_Tables_number 123
_symmetry_space_group_name_Hall '-P 4 2'
_cell_length_a 4.1293
_cell_length_b 4.1293
_cell_length_c 3.9385
_cell_angle_alpha 90.00
_cell_angle_beta 90.00
_cell_angle_gamma 90.00
loop_
_atom_site_label
_atom_site_fract_x
_atom_site_fract_y
_atom_site_fract_z
Zr1 0.0000 0.0000 0.0000
Co1 0.5000 0.5000 0.0000
B1 0.5000 0.5000 0.5000
Rh1 0.0000 0.5000 0.5000
```

E (eV per atom): -8.014
Energy relative to the elements (eV per atom): -0.607

---

3.
AcGePtO6 | PBE | relaxed

Cell and atoms, written as CIF:
```
data_AcGePtO6
_symmetry_space_group_name_H-M 'P 3 1 2'
_symmetry_Int_Tables_number 149
_cell_length_a 5.2094
_cell_length_b 5.2094
_cell_length_c 5.3998
_cell_angle_alpha 90.00
_cell_angle_beta 90.00
_cell_angle_gamma 120.00
loop_
_symmetry_equiv_pos_as_xyz
'x,y,z'
'-y,x-y,z'
'-x+y,-x,z'
'-y,-x,-z'
'-x+y,y,-z'
'x,x-y,-z'
loop_
_atom_site_label
_atom_site_fract_x
_atom_site_fract_y
_atom_site_fract_z
Ac1 0.0000 0.0000 0.0000
Ge1 0.6667 0.3333 0.5000
Pt1 0.3333 0.6667 0.5000
O1 0.3791 0.0110 0.7010
```

E_form (uncorrected) (meV per atom): -1724
E (eV per atom): -6.670

---

4.
RbLaSn4 | PBE | relaxed

Cell and atoms, written as CIF:
```
data_RbLaSn4
_symmetry_space_group_name_H-M 'F -4 3 m'
_symmetry_Int_Tables_number 216
_symmetry_space_group_name_Hall 'F -4 2 3'
_cell_length_a 9.0327
_cell_length_b 9.0327
_cell_length_c 9.0327
_cell_angle_alpha 90.00
_cell_angle_beta 90.00
_cell_angle_gamma 90.00
loop_
_atom_site_label
_atom_site_fract_x
_atom_site_fract_y
_atom_site_fract_z
Rb1 0.0000 0.0000 0.0000
La1 0.2500 0.2500 0.7500
Sn1 0.1239 0.1239 0.3761
```

E (eV per atom): -3.977
Energy relative to the elements (eV per atom): -0.326

---

5.
Sb2PtSe | PBE | relaxed

Cell and atoms, written as CIF:
```
data_Sb2PtSe
_symmetry_space_group_name_H-M 'I m m 2'
_symmetry_Int_Tables_number 44
_cell_length_a 3.7570
_cell_length_b 4.6540
_cell_length_c 11.3948
_cell_angle_alpha 90.00
_cell_angle_beta 90.00
_cell_angle_gamma 90.00
loop_
_symmetry_equiv_pos_as_xyz
'x,y,z'
'-x,-y,z'
'-x,y,z'
'x,-y,z'
'x+1/2,y+1/2,z+1/2'
'-x+1/2,-y+1/2,z+1/2'
'-x+1/2,y+1/2,z+1/2'
'x+1/2,-y+1/2,z+1/2'
loop_
_atom_site_label
_atom_site_fract_x
_atom_site_fract_y
_atom_site_fract_z
Sb1 0.0000 0.0000 0.0000
Sb2 0.0000 0.5000 0.1799
Pt1 0.0000 0.0000 0.5054
Se1 0.0000 0.5000 0.8416
```

E_form (uncorrected) (meV per atom): -54
E (eV per atom): -4.497

---

6.
YSc2Pt | PBE | relaxed

Cell and atoms, written as CIF:
```
data_YSc2Pt
_symmetry_space_group_name_H-M 'P 4/m m m'
_symmetry_Int_Tables_number 123
_symmetry_space_group_name_Hall '-P 4 2'
_cell_length_a 3.3899
_cell_length_b 3.3899
_cell_length_c 8.0356
_cell_angle_alpha 90.00
_cell_angle_beta 90.00
_cell_angle_gamma 90.00
loop_
_atom_site_label
_atom_site_fract_x
_atom_site_fract_y
_atom_site_fract_z
Y1 0.0000 0.0000 0.0000
Sc1 0.5000 0.5000 0.3075
Pt1 0.0000 0.0000 0.5000
```

E (eV per atom): -6.881
Energy relative to the elements (eV per atom): -0.589

---

- Which formula does entry 3 have?
  AcGePtO6